(1)
## RbCoHgCl6 (PBE-GGA)

Data for a relaxed structure of RbCoHgCl6.

## Properties
Formation energy (no corrections)   -7.9 eV/f.u.
Space group   P312 (149)
Calculated volume   30.23 Å³ per atom
Total energy   -3.035 eV/atom

abc: 6.635 6.635 7.134
angles: 90.00 90.00 120.00
Positions (direct):
Rb 0.000 0.000 0.000
Co 0.333 0.667 0.500
Hg 0.667 0.333 0.500
Cl 0.052 0.395 0.314
Cl 0.052 0.656 0.686
Cl 0.344 0.395 0.686
Cl 0.344 0.948 0.314
Cl 0.605 0.656 0.314
Cl 0.605 0.948 0.686

---

(2)
## CoHgS2Cl (PBE-GGA)

Data for a relaxed structure of CoHgS2Cl.

## Properties
Formation energy (no corrections)   1.0 eV/f.u.
Energy above the most stable polymorph in this dataset   0 meV/atom
Space group   P4/mmm (123)
Calculated volume   19.34 Å³ per atom
Total energy   -3.311 eV/atom

abc: 4.477 4.477 4.824
angles: 90.00 90.00 90.00
Positions (direct):
Co 0.000 0.000 0.000
Hg 0.500 0.500 0.500
S 0.000 0.500 0.000
S 0.500 0.000 0.000
Cl 0.000 0.000 0.500

---

(3)
## CoSiHgCl2 (PBE-GGA)

Data for a relaxed structure of CoSiHgCl2.

## Properties
Formation energy (no corrections)   5.3 eV/f.u.
Space group   P4/mmm (123)
Calculated volume   28.19 Å³ per atom
Total energy   -2.249 eV/atom

abc: 5.185 5.185 5.243
angles: 90.00 90.00 90.00
Positions (direct):
Co 0.000 0.000 0.000
Si 0.500 0.500 0.000
Hg 0.000 0.000 0.500
Cl 0.000 0.500 0.500
Cl 0.500 0.000 0.500

---

(4)
## Sm3CoHgCl (PBE-GGA)

Data for a relaxed structure of Sm3CoHgCl.

## Properties
Formation energy (no corrections)   -3.4 eV/f.u.
Space group   P2_1/m (11)
Calculated volume   28.64 Å³ per atom
Total energy   -4.469 eV/atom

abc: 8.581 3.958 10.161
angles: 90.00 95.22 90.00
Positions (direct):
Sm 0.058 0.250 0.355
Sm 0.255 0.250 0.901
Sm 0.355 0.750 0.602
Sm 0.645 0.250 0.398
Sm 0.745 0.750 0.099
Sm 0.942 0.750 0.645
Co 0.160 0.250 0.635
Co 0.840 0.750 0.365
Hg 0.112 0.750 0.111
Hg 0.888 0.250 0.889
Cl 0.495 0.750 0.864
Cl 0.505 0.250 0.136

---

What magnetic moment values result from the calculations? In sequence: 0.14, 1.74, 1.14, 0.00 μB/f.u..